Rb2CoF8 | GGA+U | optimized geometry

Properties
The density is 3.2 g/cm3. The energy is -3.833 eV/atom.

a b c (Å): 10.760 6.236 6.856
angles (deg): 90.00 119.10 90.00
Space group C2/m (No. 12)
Symmetry-distinct sites (fractional):
Rb1 0.245 0.000 0.252 [4 per cell]
Co1 0.000 0.500 0.000 [2 per cell]
F1 0.015 0.000 0.615 [4 per cell]
F2 0.081 0.295 0.911 [8 per cell]
F3 0.155 0.500 0.275 [4 per cell]